Record 1
First-principles (GGA-PBE) data for Ce3PrTh2As6 after structural relaxation, as listed in Alexandria via LeMat-Bulk.

E_tot ... -6.890 eV per atom
Volume ... 325.5 Å³ per cell

Cell: 7.3561 7.3561 7.3638 Å, 99.58 99.58 119.98°
Atoms (fractional coordinates):
Ce  0.0000  0.0000  0.0000
Ce  0.3343  0.6657  0.0000
Ce  0.6657  0.3343  0.0000
Pr  0.5000  0.5000  0.5000
Th  0.1669  0.8331  0.5000
Th  0.8331  0.1669  0.5000
As  0.0789  0.4155  0.2468
As  0.2476  0.2476  0.7529
As  0.4155  0.0789  0.2468
As  0.5845  0.9211  0.7532
As  0.7524  0.7524  0.2471
As  0.9211  0.5845  0.7532


Record 2
First-principles (GGA-PBE) data for CePr2ThAs4 after structural relaxation, as listed in Alexandria via LeMat-Bulk.

E_tot ... -6.668 eV per atom
Volume ... 220.9 Å³ per cell

Cell: 7.4019 4.2758 7.4024 Å, 90.00 109.49 90.00°
Atoms (fractional coordinates):
Ce  0.0000  0.0000  0.0000
Pr  0.0000  0.5000  0.5000
Pr  0.5000  0.0000  0.5000
Th  0.5000  0.5000  0.0000
As  0.2474  0.5000  0.2429
As  0.2517  0.0000  0.7565
As  0.7483  0.0000  0.2435
As  0.7526  0.5000  0.7571


Record 3
First-principles (GGA-PBE) data for Ce2Pr3ThAs6 after structural relaxation, as listed in Alexandria via LeMat-Bulk.

E_tot ... -6.606 eV per atom
Volume ... 330.3 Å³ per cell

Cell: 7.3961 7.3961 7.3974 Å, 99.59 99.59 120.02°
Atoms (fractional coordinates):
Ce  0.1667  0.8333  0.0000
Ce  0.8333  0.1667  0.0000
Pr  0.0000  0.0000  0.5000
Pr  0.3333  0.6667  0.5000
Pr  0.6667  0.3333  0.5000
Th  0.5000  0.5000  0.0000
As  0.0850  0.4191  0.7573
As  0.2468  0.2468  0.2427
As  0.4191  0.0850  0.7573
As  0.5809  0.9150  0.2427
As  0.7532  0.7532  0.7573
As  0.9150  0.5809  0.2427